Record 1
Density functional theory data (PBE-GGA) for MgFe2 after structural relaxation.

a b c (Å): 3.036 3.036 9.209
angles (deg): 90.00 90.00 90.00
Sites, in units of the cell vectors:
1 Mg 0.000 0.000 0.000
2 Mg 0.500 0.500 0.500
3 Fe 0.000 0.000 0.306
4 Fe 0.000 0.000 0.694
5 Fe 0.500 0.500 0.194
6 Fe 0.500 0.500 0.806

Values from the calculation:
Symmetry = I4/mmm, No. 139
Total magnetization = 4.48 μB/f.u.
Formation enthalpy at 0 K = 155.5 meV per atom
DOS(E_F) = 0.78 states/eV per atom

***

Record 2
Density functional theory data (PBE-GGA) for Mg3Fe5 after structural relaxation.

a b c (Å): 7.731 7.870 3.673
angles (deg): 90.00 90.00 90.00
Sites, in units of the cell vectors:
1 Mg 0.000 0.000 0.000
2 Mg 0.000 0.259 0.500
3 Mg 0.000 0.741 0.500
4 Mg 0.500 0.241 0.500
5 Mg 0.500 0.500 0.000
6 Mg 0.500 0.759 0.500
7 Fe 0.000 0.500 0.000
8 Fe 0.237 0.500 0.500
9 Fe 0.250 0.250 0.000
10 Fe 0.250 0.750 0.000
11 Fe 0.263 0.000 0.500
12 Fe 0.500 0.000 0.000
13 Fe 0.737 0.000 0.500
14 Fe 0.750 0.250 0.000
15 Fe 0.750 0.750 0.000
16 Fe 0.763 0.500 0.500

Values from the calculation:
ΔE to the lowest computed polymorph = 30 meV/atom
Symmetry = Cmmm, No. 65
Total magnetization = 11.78 μB/f.u.
Formation enthalpy at 0 K = 239.7 meV per atom
DOS(E_F) = 0.64 states/eV per atom

***

Record 3
Density functional theory data (PBE-GGA) for Mg3Fe2 after structural relaxation.

a b c (Å): 7.330 5.444 8.436
angles (deg): 59.16 39.62 81.21
Sites, in units of the cell vectors:
1 Mg 0.000 0.000 0.000
2 Mg 0.250 0.250 0.250
3 Mg 0.433 0.561 0.359
4 Mg 0.561 0.433 0.647
5 Mg 0.603 0.891 0.689
6 Mg 0.891 0.603 0.817
7 Fe 0.156 0.773 0.261
8 Fe 0.440 0.989 0.477
9 Fe 0.773 0.156 0.810
10 Fe 0.989 0.440 0.094

Values from the calculation:
ΔE to the lowest computed polymorph = 14 meV/atom
Symmetry = Fdd2, No. 43
Total magnetization = 4.73 μB/f.u.
Formation enthalpy at 0 K = 308.0 meV per atom
DOS(E_F) = 0.79 states/eV per atom

***

Record 4
Density functional theory data (PBE-GGA) for Mg4Fe3 after structural relaxation.

a b c (Å): 3.021 3.021 25.786
angles (deg): 90.00 90.00 90.00
Sites, in units of the cell vectors:
1 Mg 0.000 0.000 0.068
2 Mg 0.000 0.000 0.340
3 Mg 0.000 0.000 0.660
4 Mg 0.000 0.000 0.932
5 Mg 0.500 0.500 0.160
6 Mg 0.500 0.500 0.432
7 Mg 0.500 0.500 0.568
8 Mg 0.500 0.500 0.840
9 Fe 0.000 0.000 0.229
10 Fe 0.000 0.000 0.500
11 Fe 0.000 0.000 0.771
12 Fe 0.500 0.500 0.000
13 Fe 0.500 0.500 0.271
14 Fe 0.500 0.500 0.729

Values from the calculation:
ΔE to the lowest computed polymorph = 0 meV/atom
Symmetry = I4/mmm, No. 139
Total magnetization = 7.06 μB/f.u.
Formation enthalpy at 0 K = 154.6 meV per atom
DOS(E_F) = 0.61 states/eV per atom

***

Record 5
Density functional theory data (PBE-GGA) for MgFe3 after structural relaxation.

a b c (Å): 4.225 5.272 4.841
angles (deg): 90.00 90.00 90.00
Sites, in units of the cell vectors:
1 Mg 0.250 0.250 0.138
2 Mg 0.750 0.750 0.862
3 Fe 0.250 0.014 0.644
4 Fe 0.250 0.486 0.644
5 Fe 0.250 0.750 0.218
6 Fe 0.750 0.250 0.782
7 Fe 0.750 0.514 0.356
8 Fe 0.750 0.986 0.356

Values from the calculation:
Symmetry = Pmmn, No. 59
Total magnetization = 7.27 μB/f.u.
Formation enthalpy at 0 K = 189.8 meV per atom
DOS(E_F) = 0.75 states/eV per atom

***

Record 6
Density functional theory data (PBE-GGA) for MgFe2 after structural relaxation.

a b c (Å): 7.464 7.464 2.522
angles (deg): 90.00 90.00 120.00
Sites, in units of the cell vectors:
1 Mg 0.000 0.000 0.000
2 Mg 0.333 0.667 0.500
3 Mg 0.667 0.333 0.500
4 Fe 0.000 0.320 0.500
5 Fe 0.000 0.655 0.000
6 Fe 0.320 0.000 0.500
7 Fe 0.345 0.345 0.000
8 Fe 0.655 0.000 0.000
9 Fe 0.680 0.680 0.500

Values from the calculation:
Symmetry = P-62m, No. 189
Total magnetization = 4.63 μB/f.u.
Formation enthalpy at 0 K = 288.3 meV per atom
DOS(E_F) = 0.51 states/eV per atom

***

Record 7
Density functional theory data (PBE-GGA) for Mg2Fe after structural relaxation.

a b c (Å): 2.943 15.496 4.655
angles (deg): 90.00 90.00 90.00
Sites, in units of the cell vectors:
1 Mg 0.000 0.064 0.250
2 Mg 0.000 0.372 0.250
3 Mg 0.000 0.628 0.750
4 Mg 0.000 0.936 0.750
5 Mg 0.500 0.128 0.750
6 Mg 0.500 0.436 0.750
7 Mg 0.500 0.564 0.250
8 Mg 0.500 0.872 0.250
9 Fe 0.000 0.271 0.750
10 Fe 0.000 0.729 0.250
11 Fe 0.500 0.229 0.250
12 Fe 0.500 0.771 0.750

Values from the calculation:
Symmetry = Cmcm, No. 63
Total magnetization = 2.51 μB/f.u.
Formation enthalpy at 0 K = 254.1 meV per atom
DOS(E_F) = 0.62 states/eV per atom

***

Record 8
Density functional theory data (PBE-GGA) for MgFe5 after structural relaxation.

a b c (Å): 4.739 4.739 4.739
angles (deg): 60.00 60.00 60.00
Sites, in units of the cell vectors:
1 Mg 0.000 0.000 0.000
2 Fe 0.375 0.375 0.375
3 Fe 0.375 0.375 0.875
4 Fe 0.375 0.875 0.375
5 Fe 0.750 0.750 0.750
6 Fe 0.875 0.375 0.375

Values from the calculation:
Symmetry = F-43m, No. 216
Total magnetization = 9.90 μB/f.u.
Formation enthalpy at 0 K = 94.8 meV per atom
DOS(E_F) = 0.32 states/eV per atom

***

Record 9
Density functional theory data (PBE-GGA) for Mg2Fe after structural relaxation.

a b c (Å): 6.735 3.077 10.278
angles (deg): 90.00 90.00 90.00
Sites, in units of the cell vectors:
1 Mg 0.135 0.250 0.232
2 Mg 0.167 0.250 0.939
3 Mg 0.333 0.750 0.439
4 Mg 0.365 0.750 0.732
5 Mg 0.635 0.250 0.268
6 Mg 0.667 0.250 0.561
7 Mg 0.833 0.750 0.061
8 Mg 0.865 0.750 0.768
9 Fe 0.073 0.250 0.576
10 Fe 0.427 0.750 0.076
11 Fe 0.573 0.250 0.924
12 Fe 0.927 0.750 0.424

Values from the calculation:
Symmetry = Pnma, No. 62
Total magnetization = 2.33 μB/f.u.
Formation enthalpy at 0 K = 168.4 meV per atom
DOS(E_F) = 0.57 states/eV per atom

***

Record 10
Density functional theory data (PBE-GGA) for Mg5Fe3 after structural relaxation.

a b c (Å): 8.138 8.453 3.882
angles (deg): 90.00 90.00 90.00
Sites, in units of the cell vectors:
1 Mg 0.000 0.000 0.000
2 Mg 0.000 0.266 0.500
3 Mg 0.000 0.734 0.500
4 Mg 0.250 0.250 0.000
5 Mg 0.250 0.750 0.000
6 Mg 0.500 0.234 0.500
7 Mg 0.500 0.500 0.000
8 Mg 0.500 0.766 0.500
9 Mg 0.750 0.250 0.000
10 Mg 0.750 0.750 0.000
11 Fe 0.000 0.500 0.000
12 Fe 0.228 0.500 0.500
13 Fe 0.272 0.000 0.500
14 Fe 0.500 0.000 0.000
15 Fe 0.728 0.000 0.500
16 Fe 0.772 0.500 0.500

Values from the calculation:
ΔE to the lowest computed polymorph = 41 meV/atom
Symmetry = Cmmm, No. 65
Total magnetization = 6.76 μB/f.u.
Formation enthalpy at 0 K = 244.6 meV per atom
DOS(E_F) = 0.57 states/eV per atom

***

Record 11
Density functional theory data (PBE-GGA) for MgFe2 after structural relaxation.

a b c (Å): 4.038 9.933 4.095
angles (deg): 90.00 90.00 90.00
Sites, in units of the cell vectors:
1 Mg 0.000 0.089 0.250
2 Mg 0.000 0.911 0.750
3 Mg 0.500 0.411 0.750
4 Mg 0.500 0.589 0.250
5 Fe 0.000 0.251 0.750
6 Fe 0.000 0.395 0.250
7 Fe 0.000 0.605 0.750
8 Fe 0.000 0.749 0.250
9 Fe 0.500 0.105 0.750
10 Fe 0.500 0.249 0.250
11 Fe 0.500 0.751 0.750
12 Fe 0.500 0.895 0.250

Values from the calculation:
Symmetry = Cmcm, No. 63
Total magnetization = 4.52 μB/f.u.
Formation enthalpy at 0 K = 187.2 meV per atom
DOS(E_F) = 0.53 states/eV per atom

***

Record 12
Density functional theory data (PBE-GGA) for Mg3Fe after structural relaxation.

a b c (Å): 2.988 2.988 29.356
angles (deg): 90.00 90.00 120.00
Sites, in units of the cell vectors:
1 Mg 0.000 0.000 0.000
2 Mg 0.000 0.000 0.240
3 Mg 0.000 0.000 0.760
4 Mg 0.333 0.667 0.427
5 Mg 0.333 0.667 0.667
6 Mg 0.333 0.667 0.906
7 Mg 0.667 0.333 0.094
8 Mg 0.667 0.333 0.333
9 Mg 0.667 0.333 0.573
10 Fe 0.000 0.000 0.500
11 Fe 0.333 0.667 0.167
12 Fe 0.667 0.333 0.833

Values from the calculation:
Symmetry = R-3m, No. 166
Total magnetization = 2.42 μB/f.u.
Formation enthalpy at 0 K = 220.5 meV per atom
DOS(E_F) = 0.62 states/eV per atom

***

formation enthalpy at 0 K of number 8 (MgFe5)?
94.8 meV per atom

***

The highest total magnetization belongs to which entry?
Mg3Fe5